w.
Entry from OQMD: UBeW after structural relaxation (PBE).

Computed properties:
For the total magnetic moment, the calculation gives 0.003 μB/cell. As for the space group: F-43m. The calculated volume comes out at 51.5 Å³/cell.

The structure in CIF format:
```
data_UBeW
_space_group_name_H-M_alt 'P 1'
_space_group_IT_number 1
_cell_length_a 4.176
_cell_length_b 4.176
_cell_length_c 4.176
_cell_angle_alpha 60.00
_cell_angle_beta 60.00
_cell_angle_gamma 60.00
loop_
_space_group_symop_operation_xyz
'x,y,z'
loop_
_atom_site_label
_atom_site_type_symbol
_atom_site_fract_x
_atom_site_fract_y
_atom_site_fract_z
Be1 Be 0.000 0.000 0.000
W1 W 0.750 0.750 0.750
U1 U 0.250 0.250 0.250
```



x.
Entry from OQMD: UBeW after structural relaxation (PBE).

Computed properties:
For the total magnetic moment, the calculation gives 0.002 μB/cell. As for the space group: F-43m. The calculated volume comes out at 58.6 Å³/cell.

The structure in CIF format:
```
data_UBeW
_space_group_name_H-M_alt 'P 1'
_space_group_IT_number 1
_cell_length_a 4.359
_cell_length_b 4.359
_cell_length_c 4.359
_cell_angle_alpha 60.00
_cell_angle_beta 60.00
_cell_angle_gamma 60.00
loop_
_space_group_symop_operation_xyz
'x,y,z'
loop_
_atom_site_label
_atom_site_type_symbol
_atom_site_fract_x
_atom_site_fract_y
_atom_site_fract_z
Be1 Be 0.250 0.250 0.250
U1 U 0.000 0.000 0.000
W1 W 0.750 0.750 0.750
```



Stability, lowest: x



w.
Entry from OQMD: BeW2 after structural relaxation (PBE).

Computed properties:
For the total magnetic moment, the calculation gives 0.003 μB/cell. As for the space group: Fd-3m. The calculated volume comes out at 99.8 Å³/cell.

The structure in CIF format:
```
data_BeW2
_space_group_name_H-M_alt 'P 1'
_space_group_IT_number 1
_cell_length_a 5.207
_cell_length_b 5.207
_cell_length_c 5.207
_cell_angle_alpha 60.00
_cell_angle_beta 60.00
_cell_angle_gamma 60.00
loop_
_space_group_symop_operation_xyz
'x,y,z'
loop_
_atom_site_label
_atom_site_type_symbol
_atom_site_fract_x
_atom_site_fract_y
_atom_site_fract_z
Be1 Be 0.000 0.000 0.000
W1 W 0.625 0.625 0.125
W2 W 0.625 0.625 0.625
Be2 Be 0.250 0.250 0.250
W3 W 0.125 0.625 0.625
W4 W 0.625 0.125 0.625
```



x.
Entry from OQMD: BeW2 after structural relaxation (PBE).

Computed properties:
For the total magnetic moment, the calculation gives 10.763 μB/cell. As for the space group: Fd-3m. The calculated volume comes out at 231.3 Å³/cell.

The structure in CIF format:
```
data_BeW2
_space_group_name_H-M_alt 'P 1'
_space_group_IT_number 1
_cell_length_a 6.890
_cell_length_b 6.890
_cell_length_c 6.890
_cell_angle_alpha 60.00
_cell_angle_beta 60.00
_cell_angle_gamma 60.00
loop_
_space_group_symop_operation_xyz
'x,y,z'
loop_
_atom_site_label
_atom_site_type_symbol
_atom_site_fract_x
_atom_site_fract_y
_atom_site_fract_z
Be1 Be 0.500 0.500 0.500
W1 W 0.875 0.375 0.375
W2 W 0.375 0.375 0.875
W3 W 0.375 0.375 0.375
W4 W 0.375 0.875 0.375
Be2 Be 0.250 0.250 0.250
```



Stability, lowest: x



w.
Entry from OQMD: Be2W after structural relaxation (PBE).

Computed properties:
For the total magnetic moment, the calculation gives 3.467 μB/cell. As for the space group: Fd-3m. The calculated volume comes out at 308.1 Å³/cell.

The structure in CIF format:
```
data_Be2W
_space_group_name_H-M_alt 'P 1'
_space_group_IT_number 1
_cell_length_a 7.581
_cell_length_b 7.581
_cell_length_c 7.581
_cell_angle_alpha 60.00
_cell_angle_beta 60.00
_cell_angle_gamma 60.00
loop_
_space_group_symop_operation_xyz
'x,y,z'
loop_
_atom_site_label
_atom_site_type_symbol
_atom_site_fract_x
_atom_site_fract_y
_atom_site_fract_z
W1 W 0.500 0.500 0.500
W2 W 0.250 0.250 0.250
Be1 Be 0.375 0.375 0.375
Be2 Be 0.375 0.375 0.875
Be3 Be 0.375 0.875 0.375
Be4 Be 0.875 0.375 0.375
```



x.
Entry from OQMD: Be2W after structural relaxation (PBE).

Computed properties:
For the total magnetic moment, the calculation gives 0.000 μB/cell. As for the space group: Fd-3m. The calculated volume comes out at 62.9 Å³/cell.

The structure in CIF format:
```
data_Be2W
_space_group_name_H-M_alt 'P 1'
_space_group_IT_number 1
_cell_length_a 4.465
_cell_length_b 4.465
_cell_length_c 4.465
_cell_angle_alpha 60.00
_cell_angle_beta 60.00
_cell_angle_gamma 60.00
loop_
_space_group_symop_operation_xyz
'x,y,z'
loop_
_atom_site_label
_atom_site_type_symbol
_atom_site_fract_x
_atom_site_fract_y
_atom_site_fract_z
W1 W 0.000 0.000 0.000
Be1 Be 0.625 0.125 0.625
Be2 Be 0.625 0.625 0.625
Be3 Be 0.125 0.625 0.625
W2 W 0.250 0.250 0.250
Be4 Be 0.625 0.625 0.125
```



Stability, lowest: w



w.
Entry from OQMD: Be2Zn after structural relaxation (PBE).

Computed properties:
As for the space group: P6_3/mmc. The calculated volume comes out at 118.6 Å³/cell.

The structure in CIF format:
```
data_Be2Zn
_space_group_name_H-M_alt 'P 1'
_space_group_IT_number 1
_cell_length_a 4.357
_cell_length_b 4.357
_cell_length_c 7.214
_cell_angle_alpha 90.00
_cell_angle_beta 90.00
_cell_angle_gamma 120.00
loop_
_space_group_symop_operation_xyz
'x,y,z'
loop_
_atom_site_label
_atom_site_type_symbol
_atom_site_fract_x
_atom_site_fract_y
_atom_site_fract_z
Be1 Be 0.835 0.165 0.250
Be2 Be 0.165 0.329 0.750
Zn1 Zn 0.333 0.667 0.439
Be3 Be 0.000 0.000 0.500
Be4 Be 0.000 0.000 0.000
Be5 Be 0.165 0.835 0.750
Zn2 Zn 0.667 0.333 0.561
Zn3 Zn 0.667 0.333 0.939
Be6 Be 0.329 0.165 0.250
Be7 Be 0.835 0.671 0.250
Be8 Be 0.671 0.835 0.750
Zn4 Zn 0.333 0.667 0.061
```



x.
Entry from OQMD: Be2Zn after structural relaxation (PBE).

Computed properties:
As for the space group: Fd-3m. The calculated volume comes out at 59.5 Å³/cell.

The structure in CIF format:
```
data_Be2Zn
_space_group_name_H-M_alt 'P 1'
_space_group_IT_number 1
_cell_length_a 4.381
_cell_length_b 4.381
_cell_length_c 4.381
_cell_angle_alpha 60.00
_cell_angle_beta 60.00
_cell_angle_gamma 60.00
loop_
_space_group_symop_operation_xyz
'x,y,z'
loop_
_atom_site_label
_atom_site_type_symbol
_atom_site_fract_x
_atom_site_fract_y
_atom_site_fract_z
Be1 Be 0.125 0.625 0.125
Be2 Be 0.125 0.125 0.625
Zn1 Zn 0.500 0.500 0.500
Be3 Be 0.625 0.125 0.125
Zn2 Zn 0.750 0.750 0.750
Be4 Be 0.125 0.125 0.125
```



Stability, lowest: w



w.
Entry from OQMD: Be2Zn after structural relaxation (PBE).

Computed properties:
As for the space group: Fmmm. The calculated volume comes out at 31.6 Å³/cell.

The structure in CIF format:
```
data_Be2Zn
_space_group_name_H-M_alt 'P 1'
_space_group_IT_number 1
_cell_length_a 2.532
_cell_length_b 2.487
_cell_length_c 5.965
_cell_angle_alpha 96.20
_cell_angle_beta 102.26
_cell_angle_gamma 59.40
loop_
_space_group_symop_operation_xyz
'x,y,z'
loop_
_atom_site_label
_atom_site_type_symbol
_atom_site_fract_x
_atom_site_fract_y
_atom_site_fract_z
Be1 Be 0.176 0.000 0.352
Zn1 Zn 0.500 0.000 0.000
Be2 Be 0.824 0.000 0.648
```



x.
Entry from OQMD: Be2Zn after structural relaxation (PBE).

Computed properties:
As for the space group: Fd-3m. The calculated volume comes out at 249.7 Å³/cell.

The structure in CIF format:
```
data_Be2Zn
_space_group_name_H-M_alt 'P 1'
_space_group_IT_number 1
_cell_length_a 7.068
_cell_length_b 7.068
_cell_length_c 7.068
_cell_angle_alpha 60.00
_cell_angle_beta 60.00
_cell_angle_gamma 60.00
loop_
_space_group_symop_operation_xyz
'x,y,z'
loop_
_atom_site_label
_atom_site_type_symbol
_atom_site_fract_x
_atom_site_fract_y
_atom_site_fract_z
Be1 Be 0.375 0.875 0.375
Be2 Be 0.875 0.375 0.375
Be3 Be 0.375 0.375 0.375
Zn1 Zn 0.500 0.500 0.500
Zn2 Zn 0.250 0.250 0.250
Be4 Be 0.375 0.375 0.875
```



Stability, lowest: x



w.
Entry from OQMD: ZrBe2Zn2 after structural relaxation (PBE).

Computed properties:
For the total magnetic moment, the calculation gives 0.000 μB/cell. As for the space group: I4/mmm. The calculated volume comes out at 68.4 Å³/cell.

The structure in CIF format:
```
data_ZrBe2Zn2
_space_group_name_H-M_alt 'P 1'
_space_group_IT_number 1
_cell_length_a 3.847
_cell_length_b 3.847
_cell_length_c 5.362
_cell_angle_alpha 111.02
_cell_angle_beta 111.02
_cell_angle_gamma 90.00
loop_
_space_group_symop_operation_xyz
'x,y,z'
loop_
_atom_site_label
_atom_site_type_symbol
_atom_site_fract_x
_atom_site_fract_y
_atom_site_fract_z
Be1 Be 0.750 0.250 0.500
Be2 Be 0.250 0.750 0.500
Zn1 Zn 0.372 0.372 0.745
Zn2 Zn 0.628 0.628 0.255
Zr1 Zr 0.000 0.000 0.000
```



x.
Entry from OQMD: ZrBe2Zn2 after structural relaxation (PBE).

Computed properties:
For the total magnetic moment, the calculation gives 0.009 μB/cell. As for the space group: I4/mmm. The calculated volume comes out at 66.8 Å³/cell.

The structure in CIF format:
```
data_ZrBe2Zn2
_space_group_name_H-M_alt 'P 1'
_space_group_IT_number 1
_cell_length_a 3.719
_cell_length_b 3.719
_cell_length_c 5.498
_cell_angle_alpha 109.77
_cell_angle_beta 109.77
_cell_angle_gamma 90.00
loop_
_space_group_symop_operation_xyz
'x,y,z'
loop_
_atom_site_label
_atom_site_type_symbol
_atom_site_fract_x
_atom_site_fract_y
_atom_site_fract_z
Zr1 Zr 0.000 0.000 0.000
Zn1 Zn 0.750 0.250 0.500
Be1 Be 0.395 0.395 0.791
Be2 Be 0.605 0.605 0.209
Zn2 Zn 0.250 0.750 0.500
```



Stability, lowest: w